Ba4LiGa5: optimized geometry, GGA-PBE.

Unit cell a=6.1202 b=7.8234 c=7.8234 alpha=81.20 beta=66.97 gamma=66.97
Positions (direct):
Li  0.2155  0.0000  0.0000
Ga  0.8014  0.2909  0.0000
Ga  0.0922  0.0000  0.7091
Ba  0.1631  0.2896  0.2896
Ba  0.4527  0.7104  0.2896
Ga  0.6762  0.0000  0.0000
Ga  0.0922  0.7091  0.0000
Ba  0.7423  0.7104  0.7104
Ba  0.4527  0.2896  0.7104
Ga  0.8014  0.0000  0.2909

Magnetization, μB per cell: 0.0
E_form, meV/atom: -278